Computed, not measured: an optimized crystal structure of ZnCr2Ni at the PBE level of DFT.

Lattice parameters (Å, degrees): 6.6421 6.6421 5.2525 50.78 50.78 90.00
With the nearest neighbours (Å) after each atom.
Positions (direct):
Cr (0.1484, 0.6250, 0.2500)  2 Ni 2.32, 2 Cr 2.37, 2 Zn 2.53
Cr (0.6016, 0.1250, 0.2500)  2 Ni 2.32, 2 Cr 2.37, 2 Zn 2.53
Cr (0.3750, 0.3984, 0.7500)  2 Ni 2.32, 2 Cr 2.37, 2 Zn 2.53
Ni (0.5000, 0.5000, 0.0000)  4 Cr 2.32, 2 Zn 2.35
Zn (0.7500, 0.2500, 0.5000)  2 Ni 2.35, 4 Cr 2.53
Cr (0.8750, 0.8516, 0.7500)  2 Ni 2.32, 2 Cr 2.37, 2 Zn 2.53
Zn (0.0000, 0.0000, 0.0000)  2 Ni 2.35, 4 Cr 2.53
Ni (0.2500, 0.7500, 0.5000)  4 Cr 2.32, 2 Zn 2.35

Summary:
Uncorrected energy   -5.93 eV/atom
Space-group type   No. 122